Record 1
# Ba2Ga3Ag4Ge PBE-GGA optimized geometry
# - DFT total energy (eV for the cell shown) = -31.73
# - spin magnetization (μB per cell) = 0.00
data_Ba2Ga3Ag4Ge
_chemical_formula_sum 'Ba2 Ga3 Ag4 Ge1'
_space_group_name_H-M_alt 'P -4 m 2'
_space_group_IT_number 115
_space_group_name_Hall 'P -4 -2'
_cell_length_a 4.7036
_cell_length_b 4.7036
_cell_length_c 10.8985
_cell_angle_alpha 90.00
_cell_angle_beta 90.00
_cell_angle_gamma 90.00
loop_
_atom_site_label
_atom_site_type_symbol
_atom_site_fract_x
_atom_site_fract_y
_atom_site_fract_z
_atom_site_occupancy
Ba1 Ba 0.0000 0.5000 0.2453 1
Ga1 Ga 0.0000 0.0000 0.0000 1
Ga2 Ga 0.0000 0.5000 0.6199 1
Ag1 Ag 0.0000 0.0000 0.5000 1
Ag2 Ag 0.0000 0.5000 0.8713 1
Ag3 Ag 0.5000 0.5000 0.5000 1
Ge1 Ge 0.5000 0.5000 0.0000 1



Record 2
# Dy2PuHgO8 PBE-GGA optimized geometry
# - formation energy from raw total energies (eV per atom) = -2.331
# - DFT total energy (eV for the cell shown) = -91.48
# - spin magnetization (μB per cell) = 0.11
data_Dy2PuHgO8
_chemical_formula_sum 'Dy2 Pu1 Hg1 O8'
_space_group_name_H-M_alt 'P 1 2/m 1'
_space_group_IT_number 10
_space_group_name_Hall '-P 2y'
_cell_length_a 4.9600
_cell_length_b 7.3924
_cell_length_c 4.9706
_cell_angle_alpha 90.00
_cell_angle_beta 93.27
_cell_angle_gamma 90.00
loop_
_atom_site_label
_atom_site_type_symbol
_atom_site_fract_x
_atom_site_fract_y
_atom_site_fract_z
_atom_site_occupancy
Dy1 Dy 0.0000 0.2415 0.0000 1
Pu1 Pu 0.5000 0.5000 0.5000 1
Hg1 Hg 0.5000 0.0000 0.5000 1
O1 O 0.1962 0.0000 0.1970 1
O2 O 0.2039 0.5000 0.2079 1
O3 O 0.3118 0.3087 0.6915 1



Record 3
# As2RuSe PBE-GGA optimized geometry
# - formation energy from raw total energies (eV per atom) = 0.047
# - DFT total energy (eV for the cell shown) = -21.87
# - spin magnetization (μB per cell) = 0.00
data_As2RuSe
_chemical_formula_sum 'As2 Ru1 Se1'
_space_group_name_H-M_alt 'P 1 m 1'
_space_group_IT_number 6
_space_group_name_Hall 'P -2y'
_cell_length_a 4.3027
_cell_length_b 4.2334
_cell_length_c 4.3031
_cell_angle_alpha 90.00
_cell_angle_beta 109.12
_cell_angle_gamma 90.00
loop_
_atom_site_label
_atom_site_type_symbol
_atom_site_fract_x
_atom_site_fract_y
_atom_site_fract_z
_atom_site_occupancy
As1 As 0.0000 0.0000 0.0000 1
As2 As 0.2378 0.5000 0.7658 1
Ru1 Ru 0.4316 0.0000 0.5693 1
Se1 Se 0.6374 0.5000 0.3634 1



Record 4
# Tm3CuC PBE-GGA optimized geometry
# - DFT total energy (eV for the cell shown) = -111.79
# - ΔE to the lowest computed polymorph (eV per formula unit) = 0.00
# - spin magnetization (μB per cell) = 0.00
data_Tm3CuC
_chemical_formula_sum 'Tm12 Cu4 C4'
_space_group_name_H-M_alt 'C 1 2/m 1'
_space_group_IT_number 12
_space_group_name_Hall '-C 2y'
_cell_length_a 11.1806
_cell_length_b 4.8914
_cell_length_c 7.8174
_cell_angle_alpha 90.00
_cell_angle_beta 103.17
_cell_angle_gamma 90.00
loop_
_atom_site_label
_atom_site_type_symbol
_atom_site_fract_x
_atom_site_fract_y
_atom_site_fract_z
_atom_site_occupancy
Tm1 Tm 0.0781 0.0000 0.1994 1
Tm2 Tm 0.1447 0.5000 0.9198 1
Tm3 Tm 0.1754 0.0000 0.6311 1
Cu1 Cu 0.0772 0.5000 0.4143 1
C1 C 0.1382 0.0000 0.9161 1



Record 5
# NbAl2Au2 PBE-GGA optimized geometry
# - DFT total energy (eV for the cell shown) = -50.95
# - ΔE to the lowest computed polymorph (eV per formula unit) = 0.00
# - spin magnetization (μB per cell) = 0.00
data_NbAl2Au2
_chemical_formula_sum 'Nb2 Al4 Au4'
_space_group_name_H-M_alt 'C m m m'
_space_group_IT_number 65
_space_group_name_Hall '-C 2 2'
_cell_length_a 2.8691
_cell_length_b 21.0281
_cell_length_c 2.8564
_cell_angle_alpha 90.00
_cell_angle_beta 90.00
_cell_angle_gamma 90.00
loop_
_atom_site_label
_atom_site_type_symbol
_atom_site_fract_x
_atom_site_fract_y
_atom_site_fract_z
_atom_site_occupancy
Nb1 Nb 0.0000 0.0000 0.0000 1
Al1 Al 0.0000 0.4019 0.5000 1
Au1 Au 0.0000 0.1868 0.0000 1



Record 6
# BeCrRu2 PBE-GGA optimized geometry
# - DFT total energy (eV for the cell shown) = -63.64
# - spin magnetization (μB per cell) = 2.44
data_BeCrRu2
_chemical_formula_sum 'Be2 Cr2 Ru4'
_space_group_name_H-M_alt 'I m m m'
_space_group_IT_number 71
_space_group_name_Hall '-I 2 2'
_cell_length_a 2.8811
_cell_length_b 4.3785
_cell_length_c 7.7756
_cell_angle_alpha 90.00
_cell_angle_beta 90.00
_cell_angle_gamma 90.00
loop_
_atom_site_label
_atom_site_type_symbol
_atom_site_fract_x
_atom_site_fract_y
_atom_site_fract_z
_atom_site_occupancy
Be1 Be 0.0000 0.0000 0.0000 1
Cr1 Cr 0.0000 0.0000 0.5000 1
Ru1 Ru 0.0000 0.5000 0.2703 1



Record 7
# P2O PBE-GGA optimized geometry
# - formation energy from raw total energies (eV per atom) = -0.395
# - DFT total energy (eV for the cell shown) = -16.96
# - ΔE to the lowest computed polymorph (eV per formula unit) = 0.75
# - spin magnetization (μB per cell) = 0.00
data_P2O
_chemical_formula_sum 'P2 O1'
_space_group_name_H-M_alt 'P 1'
_space_group_IT_number 1
_space_group_name_Hall 'P 1'
_cell_length_a 2.6319
_cell_length_b 3.4314
_cell_length_c 6.1018
_cell_angle_alpha 83.51
_cell_angle_beta 78.52
_cell_angle_gamma 67.99
loop_
_atom_site_label
_atom_site_type_symbol
_atom_site_fract_x
_atom_site_fract_y
_atom_site_fract_z
_atom_site_occupancy
P1 P 0.0000 0.0000 0.0000 1
P2 P 0.1651 0.4438 0.2372 1
O1 O 0.6193 0.9229 0.8223 1



Record 8
# CaIn2Ga6 PBE-GGA optimized geometry
# - DFT total energy (eV for the cell shown) = -53.07
# - spin magnetization (μB per cell) = 0.00
data_CaIn2Ga6
_chemical_formula_sum 'Ca2 In4 Ga12'
_space_group_name_H-M_alt 'C 1 2/m 1'
_space_group_IT_number 12
_space_group_name_Hall '-C 2y'
_cell_length_a 13.5064
_cell_length_b 7.0610
_cell_length_c 4.3445
_cell_angle_alpha 90.00
_cell_angle_beta 91.61
_cell_angle_gamma 90.00
loop_
_atom_site_label
_atom_site_type_symbol
_atom_site_fract_x
_atom_site_fract_y
_atom_site_fract_z
_atom_site_occupancy
Ca1 Ca 0.0000 0.0000 0.0000 1
In1 In 0.1318 0.5000 0.0512 1
Ga1 Ga 0.0000 0.3184 0.5000 1
Ga2 Ga 0.1799 0.1843 0.6549 1



Q: The lowest DFT total energy belongs to which entry?
A: Tm3CuC



Repeat the fifth record exactly.
# NbAl2Au2 PBE-GGA optimized geometry
# - DFT total energy (eV for the cell shown) = -50.95
# - ΔE to the lowest computed polymorph (eV per formula unit) = 0.00
# - spin magnetization (μB per cell) = 0.00
data_NbAl2Au2
_chemical_formula_sum 'Nb2 Al4 Au4'
_space_group_name_H-M_alt 'C m m m'
_space_group_IT_number 65
_space_group_name_Hall '-C 2 2'
_cell_length_a 2.8691
_cell_length_b 21.0281
_cell_length_c 2.8564
_cell_angle_alpha 90.00
_cell_angle_beta 90.00
_cell_angle_gamma 90.00
loop_
_atom_site_label
_atom_site_type_symbol
_atom_site_fract_x
_atom_site_fract_y
_atom_site_fract_z
_atom_site_occupancy
Nb1 Nb 0.0000 0.0000 0.0000 1
Al1 Al 0.0000 0.4019 0.5000 1
Au1 Au 0.0000 0.1868 0.0000 1